RbAgBiF5 | PBE | optimized geometry

Output
The density of states at the Fermi level is 0.00 states/eV/cell. Its formation energy (no corrections) is -2.170 eV/atom.

Lattice parameters (Å, degrees): 6.762 6.762 8.574 99.04 99.04 113.65
Sites, in units of the cell vectors:
F 0.259 0.358 0.551
F 0.079 0.716 0.903
F 0.921 0.284 0.097
F 0.923 0.077 0.750
F 0.284 0.921 0.597
F 0.358 0.259 0.051
F 0.716 0.079 0.403
F 0.642 0.741 0.949
F 0.741 0.642 0.449
F 0.077 0.923 0.250
Rb 0.341 0.659 0.250
Rb 0.659 0.341 0.750
Bi 0.000 0.000 0.000
Bi 0.000 0.000 0.500
Ag 0.326 0.674 0.750
Ag 0.674 0.326 0.250